5
Lattice="4.7888 0.0000 0.0000 0.0000 4.7888 0.0000 0.0000 0.0000 5.1705" Properties=species:S:1:pos:R:3 comment="Cr2GeTeSe (GGA-PBEsol, relaxed)" raw_formation_energy_ev_per_atom=0.653 magmom_total_mub_per_fu=8.9 volume_a3_per_atom=23.71 spacegroup="P4/mmm, No. 123" pbc="T T T"
Cr 0.0000 2.3944 0.0000
Cr 2.3944 0.0000 0.0000
Ge 0.0000 0.0000 2.5853
Te 2.3944 2.3944 2.5853
Se 0.0000 0.0000 0.0000